Version a
# ErZrPa, relaxed, DFT GGA-PBE
# **Magnetization**: 0.00 μB/cell
data_ErZrPa
_chemical_formula_sum 'Er2 Zr2 Pa2'
_cell_length_a 3.216
_cell_length_b 3.216
_cell_length_c 15.081
_cell_angle_alpha 90.00
_cell_angle_beta 90.00
_cell_angle_gamma 90.00
_space_group_name_H-M_alt 'I 4 m m'
_space_group_IT_number 107
_space_group_name_Hall 'I 4 -2'
loop_
_atom_site_label
_atom_site_fract_x
_atom_site_fract_y
_atom_site_fract_z
Er1 0.000 0.000 0.000
Zr1 0.000 0.000 0.330
Pa1 0.000 0.000 0.674

***

Version b
# ErZrPa, relaxed, DFT GGA-PBE
# **Magnetization**: 0.02 μB/cell
data_ErZrPa
_chemical_formula_sum 'Er4 Zr4 Pa4'
_cell_length_a 3.199
_cell_length_b 19.070
_cell_length_c 5.088
_cell_angle_alpha 90.00
_cell_angle_beta 90.00
_cell_angle_gamma 90.00
_space_group_name_H-M_alt 'C m c m'
_space_group_IT_number 63
_space_group_name_Hall '-C 2c 2'
loop_
_atom_site_label
_atom_site_fract_x
_atom_site_fract_y
_atom_site_fract_z
Er1 0.000 0.049 0.250
Zr1 0.000 0.216 0.250
Pa1 0.000 0.371 0.250

***

Going by the energies, version a is most stable and the next is 29 meV per atom up.

***

Version a
# Er2Pb3, relaxed, DFT GGA-PBE
# **Magnetization**: 0.00 μB/cell
data_Er2Pb3
_chemical_formula_sum 'Er8 Pb12'
_cell_length_a 12.170
_cell_length_b 4.365
_cell_length_c 11.083
_cell_angle_alpha 90.00
_cell_angle_beta 90.00
_cell_angle_gamma 90.00
_space_group_name_H-M_alt 'P n m a'
_space_group_IT_number 62
_space_group_name_Hall '-P 2ac 2n'
loop_
_atom_site_label
_atom_site_fract_x
_atom_site_fract_y
_atom_site_fract_z
Er1 0.011 0.250 0.241
Er2 0.224 0.250 0.580
Pb1 0.078 0.750 0.438
Pb2 0.097 0.250 0.946
Pb3 0.241 0.750 0.791

***

Version b
# Er2Pb3, relaxed, DFT GGA-PBE
# **Magnetization**: 0.00 μB/cell
data_Er2Pb3
_chemical_formula_sum 'Er16 Pb24'
_cell_length_a 11.136
_cell_length_b 15.838
_cell_length_c 6.406
_cell_angle_alpha 90.00
_cell_angle_beta 90.00
_cell_angle_gamma 90.00
_space_group_name_H-M_alt 'F d d 2'
_space_group_IT_number 43
_space_group_name_Hall 'F 2 -2d'
loop_
_atom_site_label
_atom_site_fract_x
_atom_site_fract_y
_atom_site_fract_z
Er1 0.032 0.302 0.000
Pb1 0.000 0.000 0.449
Pb2 0.057 0.399 0.462

***

Going by the energies, version b is most stable and the next is 64 meV per atom up.

***

Version a
# ErPb5, relaxed, DFT GGA-PBE
# **Magnetization**: 0.00 μB/cell
data_ErPb5
_chemical_formula_sum 'Er2 Pb10'
_cell_length_a 6.046
_cell_length_b 10.593
_cell_length_c 5.950
_cell_angle_alpha 90.00
_cell_angle_beta 108.97
_cell_angle_gamma 90.00
_space_group_name_H-M_alt 'C 1 2/m 1'
_space_group_IT_number 12
_space_group_name_Hall '-C 2y'
loop_
_atom_site_label
_atom_site_fract_x
_atom_site_fract_y
_atom_site_fract_z
Er1 0.000 0.000 0.000
Pb1 0.000 0.160 0.500
Pb2 0.000 0.328 0.000
Pb3 0.000 0.500 0.500

***

Version b
# ErPb5, relaxed, DFT GGA-PBE
# **Magnetization**: 0.00 μB/cell
data_ErPb5
_chemical_formula_sum 'Er2 Pb10'
_cell_length_a 4.820
_cell_length_b 15.882
_cell_length_c 4.689
_cell_angle_alpha 90.00
_cell_angle_beta 90.00
_cell_angle_gamma 90.00
_space_group_name_H-M_alt 'C m m m'
_space_group_IT_number 65
_space_group_name_Hall '-C 2 2'
loop_
_atom_site_label
_atom_site_fract_x
_atom_site_fract_y
_atom_site_fract_z
Er1 0.000 0.000 0.000
Pb1 0.000 0.167 0.500
Pb2 0.000 0.343 0.000
Pb3 0.000 0.500 0.500

***

Going by the energies, version b is most stable and the next is 25 meV per atom up.

***

Version a
# Er3Pb2, relaxed, DFT GGA-PBE
# **Magnetization**: 0.00 μB/cell
data_Er3Pb2
_chemical_formula_sum 'Er12 Pb8'
_cell_length_a 6.153
_cell_length_b 6.153
_cell_length_c 15.431
_cell_angle_alpha 90.00
_cell_angle_beta 90.00
_cell_angle_gamma 90.00
_space_group_name_H-M_alt 'I 41/a m d'
_space_group_IT_number 141
loop_
_space_group_symop_operation_xyz
'x,y,z'
'-x,-y,-z'
'-y+1/4,x+3/4,z+1/4'
'y+1/4,-x+3/4,-z+1/4'
'-x+1/2,-y,z+1/2'
'x+1/2,y,-z+1/2'
'y+1/4,-x+1/4,z+3/4'
'-y+1/4,x+1/4,-z+3/4'
'x,-y,-z'
'-x,y,z'
'-y+1/4,-x+1/4,-z+3/4'
'y+1/4,x+1/4,z+3/4'
'-x+1/2,y,-z+1/2'
'x+1/2,-y,z+1/2'
'y+1/4,x+3/4,-z+1/4'
'-y+1/4,-x+3/4,z+1/4'
'x+1/2,y+1/2,z+1/2'
'-x+1/2,-y+1/2,-z+1/2'
'-y+3/4,x+1/4,z+3/4'
'y+3/4,-x+1/4,-z+3/4'
'-x,-y+1/2,z'
'x,y+1/2,-z'
'y+3/4,-x+3/4,z+1/4'
'-y+3/4,x+3/4,-z+1/4'
'x+1/2,-y+1/2,-z+1/2'
'-x+1/2,y+1/2,z+1/2'
'-y+3/4,-x+3/4,-z+1/4'
'y+3/4,x+3/4,z+1/4'
'-x,y+1/2,-z'
'x,-y+1/2,z'
'y+3/4,x+1/4,-z+3/4'
'-y+3/4,-x+1/4,z+3/4'
loop_
_atom_site_label
_atom_site_fract_x
_atom_site_fract_y
_atom_site_fract_z
Er1 0.000 0.000 0.000
Er2 0.000 0.250 0.375
Pb1 0.000 0.250 0.176

***

Version b
# Er3Pb2, relaxed, DFT GGA-PBE
# **Magnetization**: 0.00 μB/cell
data_Er3Pb2
_chemical_formula_sum 'Er3 Pb2'
_cell_length_a 5.2247
_cell_length_b 5.2247
_cell_length_c 6.5594
_cell_angle_alpha 90.00
_cell_angle_beta 90.00
_cell_angle_gamma 120.00
_space_group_name_H-M_alt 'P -3 m 1'
_space_group_IT_number 164
_space_group_name_Hall '-P 3 2"'
loop_
_atom_site_label
_atom_site_fract_x
_atom_site_fract_y
_atom_site_fract_z
Er1 0.0000 0.0000 0.0000
Er2 0.3333 0.6667 0.3154
Pb1 0.3333 0.6667 0.7935

***

Going by the energies, version a is most stable and the next is 45 meV per atom up.

***

Version a
# Er7Pd2Pb2, relaxed, DFT GGA-PBE
# **Magnetization**: 0.00 μB/cell
data_Er7Pd2Pb2
_chemical_formula_sum 'Er14 Pd4 Pb4'
_cell_length_a 3.646
_cell_length_b 16.272
_cell_length_c 10.185
_cell_angle_alpha 90.00
_cell_angle_beta 90.00
_cell_angle_gamma 90.00
_space_group_name_H-M_alt 'I m m 2'
_space_group_IT_number 44
_space_group_name_Hall 'I 2 -2'
loop_
_atom_site_label
_atom_site_fract_x
_atom_site_fract_y
_atom_site_fract_z
Er1 0.000 0.000 0.000
Er2 0.000 0.125 0.551
Er3 0.000 0.318 0.357
Er4 0.000 0.348 0.709
Pd1 0.000 0.241 0.046
Pb1 0.000 0.000 0.314
Pb2 0.000 0.500 0.233

***

Version b
# Er7Pd2Pb2, relaxed, DFT GGA-PBE
# **Magnetization**: 0.00 μB/cell
data_Er7Pd2Pb2
_chemical_formula_sum 'Er14 Pd4 Pb4'
_cell_length_a 8.295
_cell_length_b 10.974
_cell_length_c 7.094
_cell_angle_alpha 90.00
_cell_angle_beta 90.00
_cell_angle_gamma 90.00
_space_group_name_H-M_alt 'C m m m'
_space_group_IT_number 65
_space_group_name_Hall '-C 2 2'
loop_
_atom_site_label
_atom_site_fract_x
_atom_site_fract_y
_atom_site_fract_z
Er1 0.000 0.000 0.000
Er2 0.000 0.500 0.236
Er3 0.250 0.250 0.249
Pd1 0.000 0.285 0.000
Pb1 0.187 0.000 0.500

***

Going by the energies, version a is most stable and the next is 171 meV per atom up.

***

Version a
# ErPd6Pb, relaxed, DFT GGA-PBE
# **Magnetization**: 0.00 μB/cell
data_ErPd6Pb
_chemical_formula_sum 'Er1 Pd6 Pb1'
_cell_length_a 4.114
_cell_length_b 4.114
_cell_length_c 8.188
_cell_angle_alpha 90.00
_cell_angle_beta 90.00
_cell_angle_gamma 90.00
_space_group_name_H-M_alt 'P 4/m m m'
_space_group_IT_number 123
_space_group_name_Hall '-P 4 2'
loop_
_atom_site_label
_atom_site_fract_x
_atom_site_fract_y
_atom_site_fract_z
Er1 0.000 0.000 0.000
Pd1 0.000 0.500 0.250
Pd2 0.500 0.500 0.000
Pd3 0.500 0.500 0.500
Pb1 0.000 0.000 0.500

***

Version b
# ErPd6Pb, relaxed, DFT GGA-PBE
# **Magnetization**: 0.00 μB/cell
data_ErPd6Pb
_chemical_formula_sum 'Er2 Pd12 Pb2'
_cell_length_a 8.253
_cell_length_b 5.518
_cell_length_c 7.312
_cell_angle_alpha 90.00
_cell_angle_beta 108.04
_cell_angle_gamma 90.00
_space_group_name_H-M_alt 'C 1 2/m 1'
_space_group_IT_number 12
_space_group_name_Hall '-C 2y'
loop_
_atom_site_label
_atom_site_fract_x
_atom_site_fract_y
_atom_site_fract_z
Er1 0.000 0.000 0.000
Pd1 0.141 0.000 0.435
Pd2 0.203 0.239 0.801
Pb1 0.000 0.500 0.500

***

Going by the energies, version a is most stable and the next is 320 meV per atom up.

***

Version a
# Er2Pd4Pb, relaxed, DFT GGA-PBE
# **Magnetization**: 0.00 μB/cell
data_Er2Pd4Pb
_chemical_formula_sum 'Er4 Pd8 Pb2'
_cell_length_a 5.007
_cell_length_b 5.007
_cell_length_c 14.248
_cell_angle_alpha 90.00
_cell_angle_beta 90.00
_cell_angle_gamma 90.00
_space_group_name_H-M_alt 'I 4/m m m'
_space_group_IT_number 139
_space_group_name_Hall '-I 4 2'
loop_
_atom_site_label
_atom_site_fract_x
_atom_site_fract_y
_atom_site_fract_z
Er1 0.000 0.000 0.128
Pd1 0.000 0.000 0.307
Pd2 0.000 0.500 0.000
Pb1 0.000 0.000 0.500

***

Version b
# Er2Pd4Pb, relaxed, DFT GGA-PBE
# **Magnetization**: 0.00 μB/cell
data_Er2Pd4Pb
_chemical_formula_sum 'Er6 Pd12 Pb3'
_cell_length_a 4.7214
_cell_length_b 4.7214
_cell_length_c 23.2709
_cell_angle_alpha 90.00
_cell_angle_beta 90.00
_cell_angle_gamma 120.00
_space_group_name_H-M_alt 'R -3 m'
_space_group_IT_number 166
_space_group_name_Hall '-R 3 2"'
loop_
_atom_site_label
_atom_site_fract_x
_atom_site_fract_y
_atom_site_fract_z
Er1 0.0000 0.0000 0.2453
Pd1 0.0000 0.0000 0.1261
Pd2 0.0000 0.0000 0.3798
Pb1 0.0000 0.0000 0.0000

***

Going by the energies, version b is most stable and the next is 489 meV per atom up.

***

Version a
# Er12Pd6Pb, relaxed, DFT GGA-PBE
# **Magnetization**: 0.00 μB/cell
data_Er12Pd6Pb
_chemical_formula_sum 'Er24 Pd12 Pb2'
_cell_length_a 9.893
_cell_length_b 9.893
_cell_length_c 9.893
_cell_angle_alpha 90.00
_cell_angle_beta 90.00
_cell_angle_gamma 90.00
_space_group_name_H-M_alt 'I m -3'
_space_group_IT_number 204
_space_group_name_Hall '-I 2 2 3'
loop_
_atom_site_label
_atom_site_fract_x
_atom_site_fract_y
_atom_site_fract_z
Er1 0.000 0.298 0.184
Pd1 0.000 0.137 0.500
Pb1 0.000 0.000 0.000

***

Version b
# Er12Pd6Pb, relaxed, DFT GGA-PBE
# **Magnetization**: 0.00 μB/cell
data_Er12Pd6Pb
_chemical_formula_sum 'Er36 Pd18 Pb3'
_cell_length_a 14.0591
_cell_length_b 14.0591
_cell_length_c 8.9076
_cell_angle_alpha 90.00
_cell_angle_beta 90.00
_cell_angle_gamma 120.00
_space_group_name_H-M_alt 'R -3'
_space_group_IT_number 148
_space_group_name_Hall '-R 3'
loop_
_atom_site_label
_atom_site_fract_x
_atom_site_fract_y
_atom_site_fract_z
Er1 0.0395 0.7841 0.4267
Er2 0.0589 0.8813 0.8260
Pd1 0.0718 0.5713 0.7814
Pb1 0.0000 0.0000 0.5000

***

Going by the energies, version a is most stable and the next is 116 meV per atom up.